[1]
# IrW5

A relaxed IrW5 crystal (GGA-PBE, Alexandria via LeMat-Bulk).

a = 5.200 Å, b = 5.200 Å, c = 4.521 Å
α = 90.00°, β = 90.00°, γ = 120.00°
Sites, in units of the cell vectors:
W  0.500  0.500  0.500
W  0.000  0.500  0.500
W  0.333  0.667  0.000
W  0.500  0.000  0.500
W  0.667  0.333  0.000
Ir  0.000  0.000  0.000

Calculated values
- Crystal system: hexagonal
- E above lowest polymorph: 633.3 meV/atom

---

[2]
# IrW3

A relaxed IrW3 crystal (GGA-PBE, Alexandria via LeMat-Bulk).

a = 5.480 Å, b = 5.480 Å, c = 4.563 Å
α = 90.00°, β = 90.00°, γ = 90.51°
Sites, in units of the cell vectors:
W  0.115  0.470  0.750
W  0.530  0.885  0.250
W  0.470  0.115  0.750
W  0.919  0.919  0.750
W  0.885  0.530  0.250
W  0.081  0.081  0.250
Ir  0.413  0.413  0.250
Ir  0.587  0.587  0.750

Calculated values
- Crystal system: orthorhombic

---

[3]
# Ir5W

A relaxed Ir5W crystal (GGA-PBE, Alexandria via LeMat-Bulk).

a = 5.099 Å, b = 5.099 Å, c = 5.099 Å
α = 60.00°, β = 60.00°, γ = 60.00°
Sites, in units of the cell vectors:
W  0.000  0.000  0.000
Ir  0.625  0.625  0.126
Ir  0.625  0.126  0.625
Ir  0.625  0.625  0.625
Ir  0.126  0.625  0.625
Ir  0.250  0.250  0.250

Calculated values
- Crystal system: cubic
- E above lowest polymorph: 653.5 meV/atom

---

[4]
# Ir3W

A relaxed Ir3W crystal (GGA-PBE, Alexandria via LeMat-Bulk).

a = 5.523 Å, b = 5.523 Å, c = 8.959 Å
α = 90.00°, β = 90.00°, γ = 60.00°
Sites, in units of the cell vectors:
Ir  0.500  0.000  0.500
Ir  0.662  0.169  0.250
Ir  0.831  0.831  0.750
Ir  0.500  0.500  0.000
Ir  0.500  0.500  0.500
Ir  0.169  0.169  0.250
Ir  0.000  0.500  0.500
Ir  0.831  0.338  0.750
Ir  0.000  0.500  0.000
Ir  0.338  0.831  0.750
Ir  0.500  0.000  0.000
Ir  0.169  0.662  0.250
W  0.000  0.000  0.000
W  0.667  0.667  0.250
W  0.000  0.000  0.500
W  0.333  0.333  0.750

Calculated values
- Crystal system: hexagonal

---

[5]
# Ir5W

A relaxed Ir5W crystal (GGA-PBE, Alexandria via LeMat-Bulk).

a = 3.908 Å, b = 3.894 Å, c = 6.130 Å
α = 108.52°, β = 90.00°, γ = 90.00°
Sites, in units of the cell vectors:
Ir  0.000  0.340  0.680
Ir  0.500  0.834  0.668
Ir  0.500  0.166  0.332
Ir  0.500  0.500  0.000
Ir  0.000  0.660  0.320
W  0.000  0.000  0.000

Calculated values
- Crystal system: orthorhombic
- E above lowest polymorph: 0.0 meV/atom

---

[6]
# IrW2

A relaxed IrW2 crystal (GGA-PBE, Alexandria via LeMat-Bulk).

a = 2.775 Å, b = 2.775 Å, c = 7.060 Å
α = 90.00°, β = 90.00°, γ = 120.00°
Sites, in units of the cell vectors:
W  0.667  0.333  0.676
W  0.333  0.667  0.324
Ir  0.000  0.000  0.000

Calculated values
- Crystal system: trigonal
- E above lowest polymorph: 191.2 meV/atom

---

[7]
# Ir3W

A relaxed Ir3W crystal (GGA-PBE, Alexandria via LeMat-Bulk).

a = 4.975 Å, b = 4.975 Å, c = 4.975 Å
α = 90.00°, β = 90.00°, γ = 90.00°
Sites, in units of the cell vectors:
Ir  0.500  0.000  0.250
Ir  0.000  0.750  0.500
Ir  0.750  0.500  0.000
Ir  0.500  0.000  0.750
Ir  0.000  0.250  0.500
Ir  0.250  0.500  0.000
W  0.000  0.000  0.000
W  0.500  0.500  0.500

Calculated values
- Crystal system: cubic

---

[8]
# Ir3W

A relaxed Ir3W crystal (GGA-PBE, Alexandria via LeMat-Bulk).

a = 4.768 Å, b = 4.768 Å, c = 4.768 Å
α = 90.00°, β = 90.00°, γ = 90.00°
Sites, in units of the cell vectors:
Ir  0.000  0.000  0.500
Ir  0.000  0.500  0.000
Ir  0.500  0.000  0.000
W  0.000  0.000  0.000

Calculated values
- Crystal system: cubic

---

[9]
# IrW3

A relaxed IrW3 crystal (GGA-PBE, Alexandria via LeMat-Bulk).

a = 2.759 Å, b = 4.899 Å, c = 4.946 Å
α = 98.83°, β = 90.00°, γ = 106.35°
Sites, in units of the cell vectors:
Ir  0.000  0.000  0.000
W  0.740  0.481  0.243
W  0.500  0.000  0.500
W  0.260  0.519  0.757

Calculated values
- Crystal system: monoclinic

---

[10]
# Ir3W5

A relaxed Ir3W5 crystal (GGA-PBE, Alexandria via LeMat-Bulk).

a = 5.616 Å, b = 5.616 Å, c = 3.928 Å
α = 90.00°, β = 90.00°, γ = 90.97°
Sites, in units of the cell vectors:
W  0.000  0.000  0.000
W  0.257  0.743  0.500
W  0.743  0.257  0.500
W  0.000  0.500  0.000
W  0.500  0.000  0.000
Ir  0.500  0.500  0.000
Ir  0.750  0.750  0.500
Ir  0.250  0.250  0.500

Calculated values
- Crystal system: orthorhombic
- E above lowest polymorph: 0.0 meV/atom

---

[11]
# Ir5W

A relaxed Ir5W crystal (GGA-PBE, Alexandria via LeMat-Bulk).

a = 2.772 Å, b = 5.242 Å, c = 6.522 Å
α = 76.26°, β = 90.00°, γ = 105.33°
Sites, in units of the cell vectors:
Ir  0.331  0.663  0.332
Ir  0.386  0.772  0.729
Ir  0.001  0.002  0.001
Ir  0.668  0.336  0.667
Ir  0.058  0.116  0.384
W  0.722  0.444  0.054

Calculated values
- Crystal system: monoclinic
- E above lowest polymorph: 83.0 meV/atom

---

[12]
# IrW3

A relaxed IrW3 crystal (GGA-PBE, Alexandria via LeMat-Bulk).

a = 5.522 Å, b = 5.522 Å, c = 4.256 Å
α = 90.00°, β = 90.00°, γ = 101.80°
Sites, in units of the cell vectors:
W  0.112  0.354  0.250
W  0.354  0.112  0.750
W  0.888  0.646  0.750
W  0.646  0.888  0.250
W  0.140  0.860  0.250
W  0.860  0.140  0.750
Ir  0.395  0.605  0.750
Ir  0.605  0.395  0.250

Calculated values
- Crystal system: orthorhombic

---

[13]
# IrW2

A relaxed IrW2 crystal (GGA-PBE, Alexandria via LeMat-Bulk).

a = 6.410 Å, b = 6.410 Å, c = 3.851 Å
α = 90.00°, β = 90.00°, γ = 143.66°
Sites, in units of the cell vectors:
W  0.424  0.576  0.750
W  0.576  0.424  0.250
W  0.747  0.253  0.750
W  0.253  0.747  0.250
Ir  0.920  0.080  0.250
Ir  0.080  0.920  0.750

Calculated values
- Crystal system: orthorhombic
- E above lowest polymorph: 42.0 meV/atom

---

[14]
# IrW3

A relaxed IrW3 crystal (GGA-PBE, Alexandria via LeMat-Bulk).

a = 3.245 Å, b = 3.245 Å, c = 6.038 Å
α = 90.00°, β = 90.00°, γ = 90.00°
Sites, in units of the cell vectors:
Ir  0.000  0.000  0.000
W  0.000  0.000  0.500
W  0.500  0.500  0.253
W  0.500  0.500  0.747

Calculated values
- Crystal system: tetragonal

---

[15]
# IrW2

A relaxed IrW2 crystal (GGA-PBE, Alexandria via LeMat-Bulk).

a = 4.925 Å, b = 4.925 Å, c = 4.925 Å
α = 147.44°, β = 132.51°, γ = 58.77°
Sites, in units of the cell vectors:
W  0.336  0.336  0.000
W  0.664  0.664  0.000
Ir  0.000  0.000  0.000

Calculated values
- Crystal system: orthorhombic
- E above lowest polymorph: 126.8 meV/atom

---

[16]
# Ir3W

A relaxed Ir3W crystal (GGA-PBE, Alexandria via LeMat-Bulk).

a = 5.547 Å, b = 5.547 Å, c = 4.430 Å
α = 90.00°, β = 90.00°, γ = 120.00°
Sites, in units of the cell vectors:
Ir  0.834  0.667  0.250
Ir  0.166  0.333  0.750
Ir  0.333  0.166  0.250
Ir  0.166  0.834  0.750
Ir  0.667  0.834  0.750
Ir  0.834  0.166  0.250
W  0.667  0.333  0.750
W  0.333  0.667  0.250

Calculated values
- Crystal system: hexagonal

---

[17]
# IrW2

A relaxed IrW2 crystal (GGA-PBE, Alexandria via LeMat-Bulk).

a = 6.462 Å, b = 6.462 Å, c = 6.462 Å
α = 155.36°, β = 155.36°, γ = 35.13°
Sites, in units of the cell vectors:
W  0.160  0.160  0.000
W  0.840  0.840  0.000
Ir  0.500  0.500  0.000

Calculated values
- Crystal system: tetragonal
- E above lowest polymorph: 0.0 meV/atom

---

[18]
# IrW3

A relaxed IrW3 crystal (GGA-PBE, Alexandria via LeMat-Bulk).

a = 4.821 Å, b = 9.252 Å, c = 5.669 Å
α = 90.00°, β = 90.00°, γ = 90.00°
Sites, in units of the cell vectors:
W  0.607  0.750  0.385
W  0.893  0.250  0.885
W  0.393  0.250  0.615
W  0.735  0.004  0.135
W  0.235  0.496  0.365
W  0.265  0.996  0.865
W  0.735  0.496  0.135
W  0.765  0.504  0.635
W  0.265  0.504  0.865
W  0.235  0.004  0.365
W  0.765  0.996  0.635
W  0.107  0.750  0.115
Ir  0.897  0.250  0.381
Ir  0.397  0.250  0.119
Ir  0.603  0.750  0.881
Ir  0.103  0.750  0.619

Calculated values
- Crystal system: orthorhombic

---

[19]
# IrW2

A relaxed IrW2 crystal (GGA-PBE, Alexandria via LeMat-Bulk).

a = 4.467 Å, b = 4.467 Å, c = 5.475 Å
α = 90.00°, β = 90.00°, γ = 120.00°
Sites, in units of the cell vectors:
W  0.667  0.333  0.250
W  0.333  0.667  0.750
W  0.000  0.000  0.500
W  0.000  0.000  0.000
Ir  0.667  0.333  0.750
Ir  0.333  0.667  0.250

Calculated values
- Crystal system: hexagonal
- E above lowest polymorph: 153.1 meV/atom

---

[20]
# Ir3W

A relaxed Ir3W crystal (GGA-PBE, Alexandria via LeMat-Bulk).

a = 3.347 Å, b = 3.347 Å, c = 5.455 Å
α = 90.00°, β = 90.00°, γ = 90.00°
Sites, in units of the cell vectors:
Ir  0.500  0.500  0.250
Ir  0.000  0.000  0.496
Ir  0.000  0.000  0.004
W  0.500  0.500  0.750

Calculated values
- Crystal system: tetragonal

---

| no. | calculated total energy (eV for the cell shown) | total magnetic moment (μB/f.u.) | DOS(E_F) (states/eV/f.u.) |
| --- | --- | --- | --- |
| 1 | -68.88 | 0.00 | 4.66 |
| 2 | -91.14 | 0.00 | 3.89 |
| 3 | -54.66 | 0.00 | 7.53 |
| 4 | -162.90 | 0.00 | 2.40 |
| 5 | -58.58 | 0.00 | 4.03 |
| 6 | -34.51 | 0.00 | 3.36 |
| 7 | -77.71 | 0.00 | 6.52 |
| 8 | -30.41 | 0.01 | 9.46 |
| 9 | -47.43 | 0.00 | 3.13 |
| 10 | -92.25 | 0.00 | 5.57 |
| 11 | -58.08 | 0.00 | 5.00 |
| 12 | -94.66 | 0.00 | 2.37 |
| 13 | -69.92 | 0.00 | 1.63 |
| 14 | -47.10 | 0.00 | 4.69 |
| 15 | -34.71 | 0.00 | 2.73 |
| 16 | -81.87 | 0.00 | 1.94 |
| 17 | -35.09 | 0.00 | 1.71 |
| 18 | -189.38 | 0.00 | 3.89 |
| 19 | -69.25 | 0.00 | 3.83 |
| 20 | -39.01 | 0.00 | 3.92 |